Below is crystalline LiFe2BiRh at its relaxed geometry, with properties calculated at the PBE level.

Cell lengths 4.689, 4.529, 4.689 Å; angles 90.00, 90.00, 90.00 degrees
Each line ends with the local moment (μB).
Fractional coordinates of all 5 atoms:
Fe1 0.000 0.000 0.500  3.41
Fe2 0.500 0.000 0.000  2.85
Li1 0.000 0.500 0.000  -0.01
Rh1 0.000 0.000 0.000  0.69
Bi1 0.500 0.500 0.500  -0.11

Summary:
E_tot	-5.35	eV/atom
ρ	7178	kg/m³

---

Below is crystalline CoCu2Ru at its relaxed geometry, with properties calculated at the PBE level.

Cell lengths 2.558, 2.558, 8.626 Å; angles 90.00, 90.00, 116.15 degrees
Each line ends with the local moment (μB).
Fractional coordinates of all 4 atoms:
Ru1 0.000 0.000 0.506  0.58
Cu1 0.500 0.500 0.242  0.03
Cu2 0.000 0.000 0.998  0.02
Co1 0.500 0.500 0.753  1.78

Summary:
E_tot	-5.88	eV/atom
ρ	9408	kg/m³
energy above the most stable polymorph in this dataset	0.1055	eV per atom

---

Below is crystalline CaNdZnRu at its relaxed geometry, with properties calculated at the PBE level.

Cell lengths 5.026, 5.026, 5.026 Å; angles 60.00, 60.00, 60.00 degrees
Fractional coordinates of all 4 atoms:
Ca1 0.000 0.000 0.000
Zn1 0.250 0.250 0.250
Nd1 0.500 0.500 0.500
Ru1 0.750 0.750 0.750

Summary:
E_tot	-4.41	eV/atom
ρ	6490	kg/m³

---

Below is crystalline YHo4Si4 at its relaxed geometry, with properties calculated at the PBE level.

Cell lengths 5.733, 8.974, 8.974 Å; angles 90.00, 90.00, 90.00 degrees
Fractional coordinates of all 18 atoms:
Y1 0.500 0.500 0.500
Y2 0.000 0.000 0.000
Ho1 0.124 0.168 0.595
Ho2 0.376 0.668 0.095
Ho3 0.624 0.905 0.668
Ho4 0.376 0.332 0.905
Ho5 0.624 0.095 0.332
Ho6 0.124 0.832 0.405
Ho7 0.876 0.405 0.168
Ho8 0.876 0.595 0.832
Si1 0.625 0.776 0.360
Si2 0.375 0.360 0.224
Si3 0.125 0.860 0.724
Si4 0.625 0.224 0.640
Si5 0.375 0.640 0.776
Si6 0.875 0.276 0.860
Si7 0.125 0.140 0.276
Si8 0.875 0.724 0.140

Summary:
E_tot	-5.65	eV/atom
ρ	6193	kg/m³
ΔE_f (raw)	-11.25	kcal/mol of atoms